Computed, not measured: a relaxed structure of LiNd3Ag4 at the PBE level of DFT.

Computed properties:
- Symmetry: No. 166
- Energy: -3.66 eV per atom
- Size of the total moment: 0.000 μB per atom
- Energy of formation from the pure elements: -0.20 eV/atom
- Calculated density: 7.298 Mg/m³

Cell: 5.203 5.203 8.973 Å, 73.15 73.15 60.00°
Fractional coordinates of all 8 atoms:
1 Nd 0.745 0.745 0.765
2 Nd 0.255 0.255 0.235
3 Nd 0.500 0.500 0.500
4 Ag 0.623 0.623 0.130
5 Ag 0.122 0.122 0.634
6 Ag 0.377 0.377 0.870
7 Ag 0.878 0.878 0.366
8 Li 0.000 0.000 0.000